Entry 1:
The following is a DFT calculation (PBE) of an optimized crystal structure of H22PdC20S2N4O2.

Crystal system: monoclinic
Total energy (eV/atom): -6.29

Structure (CIF):
```
data_H22PdC20S2N4O2
_space_group_name_H-M_alt 'P 1 21/c 1'
_space_group_IT_number 14
_cell_length_a 5.6271
_cell_length_b 21.0964
_cell_length_c 9.7932
_cell_angle_alpha 90.00
_cell_angle_beta 121.23
_cell_angle_gamma 90.00
loop_
_space_group_symop_operation_xyz
'x,y,z'
'-x,-y,-z'
'-x,y+1/2,-z+1/2'
'x,-y+1/2,z+1/2'
loop_
_atom_site_label
_atom_site_fract_x
_atom_site_fract_y
_atom_site_fract_z
H1 0.0361 0.1809 0.3361
H2 0.0546 0.1983 0.8918
H3 0.0893 0.7473 0.8976
H4 0.1826 0.1270 0.1241
H5 0.2646 0.5787 0.5572
H6 0.3122 0.6500 0.7150
H7 0.3606 0.1897 0.6728
H8 0.4206 0.2397 0.3817
H9 0.4464 0.0607 0.9637
H10 0.4602 0.1323 0.5788
H11 0.4624 0.5089 0.6469
Pd1 0.5000 0.0000 0.5000
C1 0.0779 0.0795 0.6411
C2 0.1778 0.6856 0.2624
C3 0.2483 0.7250 0.3923
C4 0.2702 0.1943 0.9889
C5 0.3057 0.6068 0.1186
C6 0.3402 0.1547 0.1181
C7 0.3826 0.6503 0.2559
C8 0.4703 0.1447 0.6905
C9 0.4739 0.5587 0.6175
C10 0.4752 0.2294 0.9832
S1 0.0496 0.5190 0.7969
N1 0.0551 0.6152 0.9925
N2 0.3490 0.0947 0.7380
O1 0.4992 0.5666 0.1463
```


Entry 2:
The following is a DFT calculation (PBE) of an optimized crystal structure of ZnNiBPd.

Crystal system: cubic
Total energy (eV/atom): -4.51

Structure (CIF):
```
data_ZnNiBPd
_space_group_name_H-M_alt 'F -4 3 m'
_space_group_IT_number 216
_space_group_name_Hall 'F -4 2 3'
_cell_length_a 5.6852
_cell_length_b 5.6852
_cell_length_c 5.6852
_cell_angle_alpha 90.00
_cell_angle_beta 90.00
_cell_angle_gamma 90.00
loop_
_atom_site_label
_atom_site_fract_x
_atom_site_fract_y
_atom_site_fract_z
Zn1 0.0000 0.0000 0.0000
Ni1 0.2500 0.2500 0.7500
B1 0.0000 0.0000 0.5000
Pd1 0.2500 0.2500 0.2500
```


Entry 3:
The following is a DFT calculation (PBE) of an optimized crystal structure of MgScIrPt.

Crystal system: tetragonal
Total energy (eV/atom): -6.62

Structure (CIF):
```
data_MgScIrPt
_space_group_name_H-M_alt 'P 4 m m'
_space_group_IT_number 99
_cell_length_a 3.2538
_cell_length_b 3.2538
_cell_length_c 6.1838
_cell_angle_alpha 90.00
_cell_angle_beta 90.00
_cell_angle_gamma 90.00
loop_
_space_group_symop_operation_xyz
'x,y,z'
'-y,x,z'
'-x,-y,z'
'y,-x,z'
'-x,y,z'
'y,x,z'
'x,-y,z'
'-y,-x,z'
loop_
_atom_site_label
_atom_site_fract_x
_atom_site_fract_y
_atom_site_fract_z
Mg1 0.0000 0.0000 0.0000
Sc1 0.0000 0.0000 0.4910
Ir1 0.5000 0.5000 0.2453
Pt1 0.5000 0.5000 0.7518
```


Entry 4:
The following is a DFT calculation (PBE) of an optimized crystal structure of SmH4I3O11.

Crystal system: triclinic
Total energy (eV/atom): -5.06

Structure (CIF):
```
data_SmH4I3O11
_space_group_name_H-M_alt 'P -1'
_space_group_IT_number 2
_cell_length_a 7.0223
_cell_length_b 7.1663
_cell_length_c 10.4676
_cell_angle_alpha 94.32
_cell_angle_beta 105.92
_cell_angle_gamma 110.17
loop_
_space_group_symop_operation_xyz
'x,y,z'
'-x,-y,-z'
loop_
_atom_site_label
_atom_site_fract_x
_atom_site_fract_y
_atom_site_fract_z
Sm1 0.1169 0.4131 0.2886
H1 0.1215 0.2597 0.9007
H2 0.1928 0.0732 0.8916
H3 0.2448 0.0813 0.3552
H4 0.2946 0.0780 0.2134
I1 0.2761 0.3551 0.6765
I2 0.2813 0.7320 0.0433
I3 0.3112 0.8554 0.5751
O1 0.0747 0.6317 0.1255
O2 0.0938 0.8679 0.6343
O3 0.1113 0.8213 0.9165
O4 0.1369 0.7298 0.4008
O5 0.2319 0.1387 0.2720
O6 0.2380 0.5685 0.7612
O7 0.2427 0.2221 0.8941
O8 0.2991 0.4743 0.5280
O9 0.3879 0.1139 0.5357
O10 0.4346 0.5605 0.2294
O11 0.4439 0.9765 0.1550
```